[1]
LaMo2 GGA-PBE relaxed; formation enthalpy at 0 K = 307 meV/atom; electronic total energy = -102.7 eV per cell; ΔE to the lowest computed polymorph = 0.008 eV/atom; total magnetic moment = 0.000 μB/f.u.
1.0
-5.481 -1.099 -0.726
-1.904 -1.626 -5.051
1.448 -8.713 2.259
Mo La
8 4
direct
0.000 0.000 0.000
0.000 0.000 0.500
0.833 0.335 0.750
0.335 0.833 0.750
0.167 0.167 0.250
0.833 0.833 0.750
0.665 0.167 0.250
0.167 0.665 0.250
0.667 0.667 0.061
0.667 0.667 0.439
0.333 0.333 0.561
0.333 0.333 0.939

***

[2]
La2Mo GGA-PBE relaxed; formation enthalpy at 0 K = 406 meV/atom; electronic total energy = -38.9 eV per cell; ΔE to the lowest computed polymorph = 0.178 eV/atom; total magnetic moment = 0.000 μB/f.u.
1.0
-6.810 2.308 4.853
4.853 -5.379 -4.773
2.656 -1.576 4.477
La Mo
4 2
direct
0.589 0.411 0.750
0.411 0.589 0.250
0.313 0.687 0.750
0.687 0.313 0.250
0.963 0.037 0.750
0.037 0.963 0.250

***

[3]
LaMo2 GGA-PBE relaxed; formation enthalpy at 0 K = 520 meV/atom; electronic total energy = -25.0 eV per cell; ΔE to the lowest computed polymorph = 0.221 eV/atom; total magnetic moment = 0.000 μB/f.u.
1.0
4.167 0.000 0.000
-2.083 3.609 0.000
0.000 0.000 5.005
La Mo
1 2
direct
0.000 0.000 0.000
0.333 0.667 0.500
0.667 0.333 0.500